# Mo3AuF

A relaxed Mo3AuF crystal (GGA+U, Alexandria via LeMat-Bulk).

Crystal system: cubic
Volume: 32.3 Å³ per atom
Total moment: 14.316 μB per cell
Total energy: -3.888 eV per atom
Excess energy over the best structure of this formula in the dataset: 0.285 eV/atom

Cell: 5.4479 5.4479 5.4479 Å, 90.00 90.00 90.00°
With the nearest neighbours (Å) after each atom.
Atoms (fractional coordinates):
Mo  0.0000  0.5000  0.0000  2 Au 2.72
Mo  0.0000  0.0000  0.5000  2 Au 2.72
Mo  0.5000  0.0000  0.0000  2 Au 2.72
Au  0.0000  0.0000  0.0000  6 Mo 2.72
F  0.5000  0.5000  0.5000  12 Mo 3.85